(1)
{"formula": "CeSc2S3", "functional": "PBE", "state": "optimized geometry", "final_energy_ev_per_atom": -7.0523, "magnetic_moment_mub_per_cell": 0.706, "formation_energy_uncorrected_ev_per_atom": -1.889, "lattice_angstrom": [[-2.553, 2.761, -0.101], [-3.825, -3.474, 1.716], [4.417, 1.691, 4.632]], "species": ["Sc", "S", "Ce", "S", "Sc", "S"], "frac_coords": [[0.162, 0.662, 0.324], [0.500, 0.500, 0.000], [0.500, 0.000, 0.000], [0.181, 0.181, 0.363], [0.838, 0.338, 0.676], [0.819, 0.819, 0.637]]}

---

(2)
{"formula": "CeSc2S", "functional": "PBE", "state": "optimized geometry", "relative_energy_ev_per_fu": 0.55, "final_energy_ev_per_atom": -6.3924, "magnetic_moment_mub_per_cell": 0.406, "formation_energy_uncorrected_ev_per_atom": -0.711, "lattice_angstrom": [[3.389, 0.000, 0.000], [1.694, 2.935, 0.000], [1.694, 0.978, 9.404]], "species": ["Sc", "Sc", "S", "Ce"], "frac_coords": [[0.111, 0.111, 0.666], [0.889, 0.889, 0.334], [0.500, 0.500, 0.500], [0.000, 0.000, 0.000]]}